[1]
The following is a PBE-GGA calculation of a relaxed structure of Ba2HfNb, from Alexandria via LeMat-Bulk.

The structure in POSCAR format:
```
Ba2HfNb
1.0
-4.675 4.675 3.115
4.675 -4.675 3.115
4.675 4.675 -3.115
Ba Hf Nb
4 2 2
direct
0.095 0.125 0.470
0.375 0.905 0.030
0.655 0.625 0.530
0.875 0.345 0.970
0.250 0.750 0.500
0.500 0.500 0.000
0.000 0.000 0.000
0.750 0.250 0.500
```

Values from the calculation:
SG: No. 122
N(E_F): 5.338 states/eV/f.u.
Excess energy over the best structure of this formula in the dataset: 0.1304 eV/atom
Energy of formation from the pure elements: 1362.6 meV per atom
Uncorrected energy: -4.60 eV/atom
Total moment: 0.409 μB/atom

[2]
The following is a PBE-GGA calculation of a relaxed structure of Ac2ScMo2N6, from Alexandria via LeMat-Bulk.

The structure in POSCAR format:
```
Ac2ScMo2N6
1.0
3.051 1.762 5.715
-3.051 1.762 5.715
0.000 -3.523 5.715
Ac Sc Mo N
2 1 2 6
direct
0.208 0.208 0.208
0.792 0.792 0.792
0.000 0.000 0.000
0.427 0.427 0.427
0.573 0.573 0.573
0.235 0.759 0.759
0.241 0.241 0.765
0.241 0.765 0.241
0.759 0.235 0.759
0.759 0.759 0.235
0.765 0.241 0.241
```

Values from the calculation:
SG: No. 166
N(E_F): 3.593 states/eV/f.u.
Formation energy without anion corrections: -18.284 kcal/mol of atoms
Uncorrected energy: -8.63 eV/atom
Total moment: 0.000 μB/atom

[3]
The following is a PBE-GGA calculation of a relaxed structure of InCoMo2, from Alexandria via LeMat-Bulk.

The structure in POSCAR format:
```
InCoMo2
1.0
3.280 0.000 0.000
0.000 3.280 0.000
0.000 0.000 6.044
In Co Mo
1 1 2
direct
0.000 0.000 0.000
0.000 0.000 0.500
0.500 0.500 0.305
0.500 0.500 0.695
```

Values from the calculation:
SG: No. 123
N(E_F): 3.476 states/eV/f.u.
Energy of formation from the pure elements: 319.2 meV per atom
Uncorrected energy: -7.56 eV/atom
Total moment: 0.271 μB/atom